No. 1
A relaxed structure of Sm12Co6Ir, computed with PBE-GGA.

Geometry as POSCAR:
```
Sm12Co6Ir
1.0
-4.854 4.854 4.854
4.854 -4.854 4.854
4.854 4.854 -4.854
Sm Co Ir
12 6 1
Direct
0.107 0.298 0.810
0.190 0.488 0.298
0.190 0.893 0.702
0.298 0.190 0.488
0.298 0.810 0.107
0.488 0.298 0.190
0.512 0.702 0.810
0.702 0.190 0.893
0.702 0.810 0.512
0.810 0.107 0.298
0.810 0.512 0.702
0.893 0.702 0.190
0.114 0.500 0.614
0.386 0.886 0.500
0.500 0.386 0.886
0.500 0.614 0.114
0.614 0.114 0.500
0.886 0.500 0.386
0.000 0.000 0.000
```

space-group type	Im-3
ρ	8.5	g/cm³
calculated volume	457	Å³/cell
energy of formation from the pure elements	-2.63	eV per formula unit

No. 2
A relaxed structure of Sm4CoIr, computed with PBE-GGA.

Geometry as POSCAR:
```
Sm4CoIr
1.0
4.457 -6.730 0.000
4.457 6.730 0.000
-3.713 0.000 5.198
Sm Co Ir
8 2 2
Direct
0.048 0.686 0.896
0.234 0.354 0.725
0.314 0.952 0.604
0.354 0.234 0.225
0.646 0.766 0.775
0.686 0.048 0.396
0.766 0.646 0.275
0.952 0.314 0.104
0.006 0.994 0.250
0.994 0.006 0.750
0.363 0.637 0.250
0.637 0.363 0.750
```

excess energy over the best structure of this formula in the dataset	0	meV/atom
space-group type	C2/c
ρ	9.1	g/cm³
calculated volume	312	Å³/cell
energy of formation from the pure elements	-1.97	eV per formula unit

No. 3
A relaxed structure of Sm2CoIr, computed with PBE-GGA.

Geometry as POSCAR:
```
Sm2CoIr
1.0
4.887 0.000 0.000
0.000 4.887 0.000
0.000 0.000 3.515
Sm Co Ir
2 1 1
Direct
0.000 0.500 0.000
0.500 0.000 0.000
0.000 0.000 0.500
0.500 0.500 0.500
```

space-group type	P4/mmm
ρ	10.9	g/cm³
calculated volume	84	Å³/cell
energy of formation from the pure elements	-1.36	eV per formula unit

No. 4
A relaxed structure of SmCoIr, computed with PBE-GGA.

Geometry as POSCAR:
```
SmCoIr
1.0
5.142 0.000 0.000
0.000 5.444 0.000
0.000 0.000 7.398
Sm Co Ir
4 4 4
Direct
0.000 0.250 0.122
0.000 0.750 0.878
0.500 0.250 0.378
0.500 0.750 0.622
0.250 0.250 0.750
0.250 0.750 0.250
0.750 0.250 0.750
0.750 0.750 0.250
0.000 0.000 0.500
0.000 0.500 0.500
0.500 0.000 0.000
0.500 0.500 0.000
```

space-group type	Imma
ρ	12.9	g/cm³
calculated volume	207	Å³/cell
energy of formation from the pure elements	-1.38	eV per formula unit

Q: Look up the calculated volume of the fourth one.
A: 207 Å³/cell

Q: Look up the energy of formation from the pure elements of the second one.
A: -1.97 eV per formula unit